# 1
The following is a PBE calculation of a relaxed structure of Pm6Dy5Th, from the Alexandria database.

Volume, Å³ per cell: 396.2
ΔH_f (0 K), eV per atom: 0.029
DOS(E_F), states/eV per cell: 17.3

a = 5.0981 Å, b = 10.1789 Å, c = 9.5212 Å
α = 122.26°, β = 105.52°, γ = 90.08°
Positions (direct):
1 Dy 0.6643 0.1643 0.3286
2 Dy 0.3325 0.3324 0.6647
3 Dy 0.0000 0.5000 0.0000
4 Dy 0.6675 0.6676 0.3353
5 Dy 0.3357 0.8357 0.6714
6 Th 0.0000 0.0000 0.0000
7 Pm 0.8352 0.5857 0.6707
8 Pm 0.8351 0.0850 0.6707
9 Pm 0.5000 0.7522 0.0000
10 Pm 0.5000 0.2478 0.0000
11 Pm 0.1649 0.9150 0.3293
12 Pm 0.1648 0.4143 0.3293

***

# 2
The following is a PBE calculation of a relaxed structure of PmDy3Th4, from the Alexandria database.

Volume, Å³ per cell: 269.6
ΔH_f (0 K), eV per atom: 0.317
DOS(E_F), states/eV per cell: 13.8

a = 3.4469 Å, b = 9.3917 Å, c = 9.7121 Å
α = 118.89°, β = 100.22°, γ = 90.00°
Positions (direct):
1 Dy 0.0000 0.5000 0.0000
2 Dy 0.1830 0.1828 0.3659
3 Dy 0.8170 0.8172 0.6341
4 Th 0.3491 0.5394 0.6983
5 Th 0.6509 0.4606 0.3017
6 Th 0.6506 0.8408 0.3011
7 Th 0.3494 0.1592 0.6989
8 Pm 0.5000 0.0000 0.0000

***

# 3
The following is a PBE calculation of a relaxed structure of Pm7Dy4Th, from the Alexandria database.

Volume, Å³ per cell: 400.5
ΔH_f (0 K), eV per atom: 0.016
DOS(E_F), states/eV per cell: 18.4
Polymorph energy (0 for the lowest one), eV/atom: 0.000

a = 7.2688 Å, b = 9.6248 Å, c = 8.9921 Å
α = 81.13°, β = 90.06°, γ = 40.94°
Positions (direct):
1 Pm 0.7473 0.4995 0.0008
2 Pm 0.2527 0.5005 0.9992
3 Pm 0.9716 0.2766 0.6682
4 Pm 0.0284 0.7234 0.3318
5 Pm 0.2182 0.7812 0.6702
6 Pm 0.5000 0.0000 0.0000
7 Pm 0.7818 0.2188 0.3298
8 Dy 0.5254 0.7250 0.3301
9 Dy 0.4746 0.2750 0.6699
10 Dy 0.7196 0.7802 0.6629
11 Dy 0.2804 0.2198 0.3371
12 Th 0.0000 0.0000 0.0000

***

# 4
The following is a PBE calculation of a relaxed structure of PmDy6Th12, from the Alexandria database.

Volume, Å³ per cell: 634.6
ΔH_f (0 K), eV per atom: 0.246
DOS(E_F), states/eV per cell: 30.3

a = 8.7332 Å, b = 8.7332 Å, c = 8.7332 Å
α = 99.57°, β = 99.57°, γ = 99.57°
Positions (direct):
1 Pm 0.0000 0.0000 0.0000
2 Dy 0.9003 0.3399 0.9003
3 Dy 0.9003 0.9003 0.3399
4 Dy 0.3399 0.9003 0.9003
5 Dy 0.0997 0.0997 0.6600
6 Dy 0.0997 0.6600 0.0997
7 Dy 0.6600 0.0997 0.0997
8 Th 0.7532 0.2468 0.5000
9 Th 0.3505 0.0833 0.3505
10 Th 0.3505 0.3505 0.0833
11 Th 0.9167 0.6495 0.6495
12 Th 0.6495 0.6495 0.9167
13 Th 0.6495 0.9167 0.6495
14 Th 0.5000 0.7532 0.2468
15 Th 0.2468 0.5000 0.7532
16 Th 0.2468 0.7532 0.5000
17 Th 0.5000 0.2468 0.7532
18 Th 0.7532 0.5000 0.2468
19 Th 0.0833 0.3505 0.3505

***

ΔH_f (0 K) of number 3 (Pm7Dy4Th)?
0.016 eV per atom

***

What is the ΔH_f (0 K) in the third record?
0.016 eV per atom

***

What is the volume in the fourth record?
634.6 Å³ per cell